An optimized crystal structure of AgSb2W. Source: OQMD via LeMat-Bulk, functional GGA-PBE.

Cell: 4.917 4.917 4.917 Å, 60.00 60.00 60.00°
Last column: magnetic moment on the atom in μB.
Fractional positions:
Ag (0.500, 0.500, 0.500)  0.03
Sb (0.000, 0.000, 0.000)  -0.04
Sb (0.250, 0.250, 0.250)  0.00
W (0.750, 0.750, 0.750)  0.68

Calculated values
Its calculated volume is 84 Å³ per cell. The space-group type is No. 216. The total energy is -5.046 eV/atom.